K3BaC | GGA-PBEsol | optimized geometry

Cell lengths 8.1700, 8.1700, 8.1700 Å; angles 90.00, 90.00, 90.00 degrees
Space group Pm-3m (No. 221)
Unique sites:
K 0.0000 0.0000 0.5000
Ba 0.0000 0.0000 0.0000
C 0.5000 0.5000 0.5000


BaLa2CN | GGA-PBEsol | optimized geometry

Cell lengths 4.8393, 4.8393, 4.7994 Å; angles 90.00, 90.00, 90.00 degrees
Space group P4/mmm (No. 123)
Unique sites:
Ba 0.0000 0.0000 0.0000
La 0.0000 0.5000 0.5000
C 0.5000 0.5000 0.0000
N 0.5000 0.5000 0.5000

Output
The value obtained for the formation energy (no corrections) is 0.671 eV per atom.


BaLi2C | GGA-PBEsol | optimized geometry

Cell lengths 5.0513, 5.0513, 12.0796 Å; angles 90.00, 90.00, 90.00 degrees
Space group I4_1/amd (No. 141, origin choice 2)
Unique sites:
Ba 0.0000 0.2500 0.3750
Li 0.0000 0.0000 0.0000
C 0.0000 0.2500 0.8750


Ba2LiRhC | GGA-PBEsol | optimized geometry

Cell lengths 5.8588, 5.8588, 3.8745 Å; angles 90.00, 90.00, 90.00 degrees
Space group P4/mmm (No. 123)
Unique sites:
Ba 0.0000 0.5000 0.0000
Li 0.0000 0.0000 0.5000
Rh 0.5000 0.5000 0.5000
C 0.5000 0.5000 0.0000


BaMgC3 | GGA-PBEsol | optimized geometry

Cell lengths 4.5810, 4.5810, 4.5810 Å; angles 90.00, 90.00, 90.00 degrees
Space group Pm-3m (No. 221)
Unique sites:
Ba 0.0000 0.0000 0.0000
Mg 0.5000 0.5000 0.5000
C 0.0000 0.0000 0.5000


BaMgC2O6 | GGA-PBEsol | optimized geometry

Cell lengths 5.0426, 5.0426, 16.5116 Å; angles 90.00, 90.00, 120.00 degrees
Space group R-3m (No. 166, hexagonal axes)
Unique sites:
Ba 0.0000 0.0000 0.0000
Mg 0.0000 0.0000 0.5000
C 0.0000 0.0000 0.2410
O 0.0379 0.5189 0.9099

Output
The value obtained for the formation energy (no corrections) is -2.163 eV per atom.


BaMgC2O6 | GGA-PBEsol | optimized geometry

Cell lengths 5.0300, 5.0300, 33.4882 Å; angles 90.00, 90.00, 120.00 degrees
Space group R-3c (No. 167, hexagonal axes)
Unique sites:
Ba 0.0000 0.0000 0.2500
Mg 0.0000 0.0000 0.0000
C 0.0000 0.0000 0.1306
O 0.0414 0.4756 0.2962

Output
The value obtained for the formation energy (no corrections) is -2.166 eV per atom.


BaMg2PC | GGA-PBEsol | optimized geometry

Cell lengths 6.8601, 6.8601, 5.4871 Å; angles 90.00, 90.00, 90.00 degrees
Space group P4/mmm (No. 123)
Unique sites:
Ba 0.0000 0.0000 0.0000
Mg 0.0000 0.5000 0.0000
P 0.0000 0.0000 0.5000
C 0.5000 0.5000 0.5000


Ba2MgPtC | GGA-PBEsol | optimized geometry

Cell lengths 5.9544, 5.9544, 3.8621 Å; angles 90.00, 90.00, 90.00 degrees
Space group P4/mmm (No. 123)
Unique sites:
Ba 0.0000 0.5000 0.0000
Mg 0.0000 0.0000 0.5000
Pt 0.5000 0.5000 0.5000
C 0.5000 0.5000 0.0000


BaMn2SbC | GGA-PBEsol | optimized geometry

Cell lengths 4.9807, 4.9807, 4.6248 Å; angles 90.00, 90.00, 90.00 degrees
Space group P4/mmm (No. 123)
Unique sites:
Ba 0.0000 0.0000 0.0000
Mn 0.0000 0.5000 0.5000
Sb 0.5000 0.5000 0.5000
C 0.5000 0.5000 0.0000

Output
The value obtained for the formation energy (no corrections) is 1.383 eV per atom.


BaMoC2 | GGA-PBEsol | optimized geometry

Cell lengths 5.9464, 5.9464, 8.3653 Å; angles 90.00, 90.00, 90.00 degrees
Space group I-42d (No. 122)
Unique sites:
Ba 0.0000 0.0000 0.0000
Mo 0.0000 0.0000 0.5000
C 0.1156 0.2500 0.6250


BaMoC3 | GGA-PBEsol | optimized geometry

Cell lengths 4.1853, 4.1853, 4.1853 Å; angles 90.00, 90.00, 90.00 degrees
Space group Pm-3m (No. 221)
Unique sites:
Ba 0.0000 0.0000 0.0000
Mo 0.5000 0.5000 0.5000
C 0.0000 0.5000 0.5000


Ba4CN4 | GGA-PBEsol | optimized geometry

Cell lengths 13.0494, 3.9830, 14.9685 Å; angles 90.00, 90.00, 90.00 degrees
Space group Pnma (No. 62)
Unique sites:
Ba 0.0680 0.2500 0.1987
Ba 0.0984 0.7500 0.4212
Ba 0.1350 0.7500 0.9715
Ba 0.1900 0.2500 0.7581
C 0.1557 0.7500 0.6093
N 0.0384 0.2500 0.8695
N 0.0634 0.7500 0.6305
N 0.2059 0.2500 0.3505
N 0.2476 0.7500 0.5878

Output
The value obtained for the formation energy (no corrections) is -0.658 eV per atom.


Ba2CN | GGA-PBEsol | optimized geometry

Cell lengths 7.0613, 7.0613, 8.5865 Å; angles 90.00, 90.00, 90.00 degrees
Space group I-42d (No. 122)
Unique sites:
Ba 0.2190 0.7500 0.1250
C 0.0000 0.0000 0.5000
N 0.0000 0.0000 0.0000

Output
The value obtained for the formation energy (no corrections) is 0.776 eV per atom.


Ba3Na2C4N8 | GGA-PBEsol | optimized geometry

Cell lengths 6.2763, 10.0005, 17.6873 Å; angles 90.00, 110.43, 90.00 degrees
Space group P2_1/c (No. 14)
Unique sites:
Ba 0.0848 0.1810 0.3456
Ba 0.2680 0.6889 0.5068
Ba 0.3943 0.1272 0.6434
Na 0.1075 0.0215 0.1690
Na 0.3945 0.5236 0.3299
C 0.0000 0.0000 0.5000
C 0.0605 0.6736 0.8092
C 0.2431 0.1047 0.9976
C 0.4559 0.7224 0.2002
C 0.5000 0.0000 0.5000
N 0.0569 0.0757 0.7235
N 0.1087 0.5784 0.0537
N 0.1742 0.7251 0.3380
N 0.2266 0.1217 0.0647
N 0.2603 0.0807 0.9311
N 0.3459 0.6734 0.6759
N 0.4311 0.1206 0.2725
N 0.4332 0.1171 0.4886

Output
The value obtained for the formation energy (no corrections) is -0.754 eV per atom.


Ba2NbCN | GGA-PBEsol | optimized geometry

Cell lengths 5.5518, 5.5518, 4.1718 Å; angles 90.00, 90.00, 90.00 degrees
Space group P4/mmm (No. 123)
Unique sites:
Ba 0.0000 0.5000 0.0000
Nb 0.0000 0.0000 0.5000
C 0.0000 0.0000 0.0000
N 0.5000 0.5000 0.5000

Output
The value obtained for the formation energy (no corrections) is 0.989 eV per atom.


Rb2BaPt2C8N8 | GGA-PBEsol | optimized geometry

Cell lengths 7.7944, 7.7944, 6.8691 Å; angles 90.00, 90.00, 90.00 degrees
Space group P4/mmm (No. 123)
Unique sites:
Rb 0.0000 0.5000 0.0000
Ba 0.0000 0.0000 0.5000
Pt 0.5000 0.5000 0.2547
C 0.3215 0.3215 0.2580
N 0.2150 0.2150 0.2618

Output
The value obtained for the formation energy (no corrections) is -0.173 eV per atom.


BaNaC2 | GGA-PBEsol | optimized geometry

Cell lengths 4.1928, 4.1928, 16.2830 Å; angles 90.00, 90.00, 90.00 degrees
Space group I4_1/amd (No. 141, origin choice 2)
Unique sites:
Ba 0.0000 0.2500 0.3750
Na 0.0000 0.2500 0.8750
C 0.0000 0.0000 0.0000


no.,total energy (eV per atom)
1,-1.1190
2,-5.5315
3,-3.3961
4,-4.7320
5,-3.2786
6,-7.6279
7,-7.6310
8,-1.8874
9,-4.6313
10,-5.7915
11,-8.0061
12,-7.5446
13,-6.4739
14,-4.8407
15,-7.5794
16,-5.6694
17,-7.9587
18,-3.9993